A | This record from Alexandria via LeMat-Bulk describes a geometry-optimized Pr3YTl4 structure. The functional is PBE.

## Properties
Its density of states at the Fermi level is 6.7 states/eV per cell.

Lattice parameters (Å, degrees): 3.762 7.383 10.184 111.25 100.64 90.00
Each line ends with the local moment (μB).
Fractional positions:
1 Pr 0.000 0.500 0.000  -0.01
2 Pr 0.216 0.216 0.432  -0.01
3 Pr 0.784 0.784 0.568  -0.01
4 Y 0.500 0.000 0.000  0.15
5 Tl 0.374 0.589 0.749  0.00
6 Tl 0.626 0.411 0.251  0.00
7 Tl 0.626 0.840 0.251  0.00
8 Tl 0.374 0.160 0.749  0.00

B | This record from Alexandria via LeMat-Bulk describes a geometry-optimized Pr3YTl4 structure. The functional is PBE.

## Properties
Its density of states at the Fermi level is 6.2 states/eV per cell.

Lattice parameters (Å, degrees): 3.874 3.874 15.811 90.00 90.00 90.00
Fractional positions:
1 Pr 0.500 0.500 0.244
2 Pr 0.500 0.500 0.500
3 Pr 0.500 0.500 0.756
4 Y 0.500 0.500 0.000
5 Tl 0.000 0.000 0.885
6 Tl 0.000 0.000 0.115
7 Tl 0.000 0.000 0.372
8 Tl 0.000 0.000 0.628

Question: which arrangement is favored energetically? Ranking from most to least stable: B, A.

A | This record from Alexandria via LeMat-Bulk describes a geometry-optimized PrY2Tl structure. The functional is PBE.

## Properties
Its density of states at the Fermi level is 5.5 states/eV per cell.

Lattice parameters (Å, degrees): 3.695 3.695 11.043 80.38 80.38 60.01
Fractional positions:
1 Pr 0.500 0.500 0.500
2 Y 0.076 0.076 0.773
3 Y 0.258 0.258 0.226
4 Tl 0.667 0.667 0.000

B | This record from Alexandria via LeMat-Bulk describes a geometry-optimized PrY2Tl structure. The functional is PBE.

## Properties
Its density of states at the Fermi level is 4.4 states/eV per cell.

Lattice parameters (Å, degrees): 3.631 3.631 11.241 80.71 80.71 60.00
Fractional positions:
1 Pr 0.500 0.500 0.500
2 Y 0.256 0.256 0.233
3 Y 0.744 0.744 0.767
4 Tl 0.000 0.000 0.000

C | This record from Alexandria via LeMat-Bulk describes a geometry-optimized PrY2Tl structure. The functional is PBE.

## Properties
Its density of states at the Fermi level is 9.3 states/eV per cell.

Lattice parameters (Å, degrees): 4.890 4.767 11.320 102.27 90.00 90.00
Fractional positions:
1 Pr 0.250 0.306 0.613
2 Pr 0.750 0.694 0.387
3 Y 0.750 0.442 0.885
4 Y 0.250 0.558 0.115
5 Y 0.250 0.935 0.870
6 Y 0.750 0.065 0.130
7 Tl 0.750 0.837 0.677
8 Tl 0.250 0.163 0.323

D | This record from Alexandria via LeMat-Bulk describes a geometry-optimized PrY2Tl structure. The functional is PBE.

## Properties
Its density of states at the Fermi level is 4.2 states/eV per cell.

Lattice parameters (Å, degrees): 3.677 3.677 9.178 90.00 90.00 90.00
Fractional positions:
1 Pr 0.500 0.500 0.500
2 Y 0.000 0.000 0.779
3 Y 0.000 0.000 0.221
4 Tl 0.500 0.500 0.000

Question: which arrangement is favored energetically? Ranking from most to least stable: D, C, B, A.

A | This record from Alexandria via LeMat-Bulk describes a geometry-optimized PrY2Tl structure. The functional is PBE.

## Properties
Its density of states at the Fermi level is 10.8 states/eV per cell.

Lattice parameters (Å, degrees): 4.631 6.752 8.846 90.00 90.00 110.05
Fractional positions:
1 Pr 0.942 0.884 0.250
2 Pr 0.058 0.116 0.750
3 Y 0.363 0.727 0.551
4 Y 0.637 0.273 0.449
5 Y 0.363 0.727 0.949
6 Y 0.637 0.273 0.051
7 Tl 0.767 0.533 0.750
8 Tl 0.233 0.467 0.250

B | This record from Alexandria via LeMat-Bulk describes a geometry-optimized PrY2Tl structure. The functional is PBE.

## Properties
Its density of states at the Fermi level is 5.9 states/eV per cell.

Lattice parameters (Å, degrees): 5.537 5.537 5.537 60.00 60.00 60.00
Each line ends with the local moment (μB).
Fractional positions:
1 Pr 0.000 0.000 0.000  0.53
2 Y 0.250 0.250 0.250  0.30
3 Y 0.750 0.750 0.750  0.30
4 Tl 0.500 0.500 0.500  0.00

C | This record from Alexandria via LeMat-Bulk describes a geometry-optimized PrY2Tl structure. The functional is PBE.

## Properties
Its density of states at the Fermi level is 5.5 states/eV per cell.

Lattice parameters (Å, degrees): 4.865 4.964 4.964 90.00 90.00 90.00
Each line ends with the local moment (μB).
Fractional positions:
1 Pr 0.500 0.500 0.500  0.12
2 Y 0.000 0.000 0.500  0.13
3 Y 0.000 0.500 0.000  0.13
4 Tl 0.500 0.000 0.000  -0.01

Question: which arrangement is favored energetically? Ranking from most to least stable: C, A, B.